# 1
DFT (PBE-GGA) results for an optimized crystal structure of Pr5In2.

Cell: 5.986 9.309 8.718 Å, 97.36 110.08 90.00°
Fractional positions:
1 Pr 0.574 0.820 0.449
2 Pr 0.083 0.047 0.748
3 Pr 0.335 0.453 0.252
4 Pr 0.875 0.320 0.449
5 Pr 0.779 0.250 0.000
6 Pr 0.665 0.547 0.748
7 Pr 0.221 0.750 0.000
8 Pr 0.917 0.953 0.252
9 Pr 0.426 0.180 0.551
10 Pr 0.125 0.680 0.551
11 In 0.776 0.599 0.161
12 In 0.616 0.901 0.839
13 In 0.384 0.099 0.161
14 In 0.224 0.401 0.839

Summary:
**DFT formation energy**: -1.925 eV per formula unit
**Energy relative to the lowest polymorph listed for this composition**: 0.0000 eV per atom
**Volume**: 226.0 Å³/f.u.
**Final energy**: -4.471 eV/atom
**Density of states at the Fermi level**: 14.4 states/eV/cell

=====

# 2
DFT (PBE-GGA) results for an optimized crystal structure of PrIn6.

Cell: 6.863 6.863 6.863 Å, 109.47 109.47 109.47°
Fractional positions:
1 In 0.500 0.750 0.250
2 In 0.250 0.750 0.500
3 In 0.750 0.500 0.250
4 In 0.500 0.250 0.750
5 In 0.250 0.500 0.750
6 In 0.750 0.250 0.500
7 Pr 0.000 0.000 0.000

Summary:
**DFT formation energy**: 2.474 eV per formula unit
**Volume**: 248.8 Å³/f.u.
**Final energy**: -2.677 eV/atom
**Density of states at the Fermi level**: 4.1 states/eV/cell

=====

# 3
DFT (PBE-GGA) results for an optimized crystal structure of Pr4In5.

Cell: 6.638 9.607 9.607 Å, 120.00 90.00 90.00°
Fractional positions:
1 In 0.250 0.304 0.304
2 In 0.750 0.304 0.000
3 In 0.250 0.696 0.000
4 In 0.750 0.696 0.696
5 In 0.750 0.000 0.304
6 In 0.000 0.667 0.333
7 In 0.250 0.000 0.696
8 In 0.500 0.667 0.333
9 In 0.500 0.333 0.667
10 In 0.000 0.333 0.667
11 Pr 0.250 0.368 0.000
12 Pr 0.250 0.000 0.368
13 Pr 0.750 0.632 0.000
14 Pr 0.500 0.000 0.000
15 Pr 0.250 0.632 0.632
16 Pr 0.750 0.000 0.632
17 Pr 0.000 0.000 0.000
18 Pr 0.750 0.368 0.368

Summary:
**DFT formation energy**: -3.939 eV per formula unit
**Volume**: 265.3 Å³/f.u.
**Final energy**: -4.083 eV/atom
**Density of states at the Fermi level**: 15.1 states/eV/cell

=====

# 4
DFT (PBE-GGA) results for an optimized crystal structure of Pr5In3.

Cell: 5.158 6.950 6.950 Å, 95.46 90.00 90.00°
Fractional positions:
1 In 0.500 0.231 0.769
2 In 0.500 0.769 0.231
3 In 0.000 0.500 0.500
4 Pr 0.000 0.000 0.000
5 Pr 0.000 0.500 0.000
6 Pr 0.500 0.730 0.730
7 Pr 0.500 0.270 0.270
8 Pr 0.000 0.000 0.500

Summary:
**DFT formation energy**: -2.712 eV per formula unit
**Volume**: 248.0 Å³/f.u.
**Final energy**: -4.353 eV/atom
**Density of states at the Fermi level**: 8.5 states/eV/cell

=====

# 5
DFT (PBE-GGA) results for an optimized crystal structure of Pr4In3.

Cell: 5.451 5.451 9.379 Å, 73.11 73.11 60.00°
Fractional positions:
1 In 0.252 0.252 0.245
2 In 0.748 0.748 0.755
3 In 0.000 0.000 0.000
4 Pr 0.129 0.129 0.613
5 Pr 0.381 0.381 0.857
6 Pr 0.871 0.871 0.387
7 Pr 0.619 0.619 0.143

Summary:
**DFT formation energy**: -2.320 eV per formula unit
**Energy relative to the lowest polymorph listed for this composition**: 0.0680 eV per atom
**Volume**: 227.3 Å³/f.u.
**Final energy**: -4.236 eV/atom
**Density of states at the Fermi level**: 8.4 states/eV/cell

=====

# 6
DFT (PBE-GGA) results for an optimized crystal structure of Pr8In.

Cell: 5.103 8.205 8.205 Å, 84.45 71.88 71.88°
Fractional positions:
1 In 0.000 0.000 0.000
2 Pr 0.000 0.670 0.330
3 Pr 0.339 0.000 0.322
4 Pr 0.661 0.678 0.000
5 Pr 0.000 0.330 0.670
6 Pr 0.661 0.000 0.678
7 Pr 0.330 0.670 0.670
8 Pr 0.670 0.330 0.330
9 Pr 0.339 0.322 0.000

Summary:
**DFT formation energy**: -0.646 eV per formula unit
**Volume**: 310.3 Å³/f.u.
**Final energy**: -4.624 eV/atom
**Density of states at the Fermi level**: 13.0 states/eV/cell

=====

# 7
DFT (PBE-GGA) results for an optimized crystal structure of Pr5In2.

Cell: 6.908 8.563 9.469 Å, 116.88 111.39 90.00°
Fractional positions:
1 Pr 0.583 0.920 0.167
2 Pr 0.417 0.080 0.833
3 Pr 0.917 0.753 0.833
4 Pr 0.514 0.264 0.528
5 Pr 0.014 0.264 0.528
6 Pr 0.750 0.500 0.000
7 Pr 0.986 0.736 0.472
8 Pr 0.250 0.500 0.000
9 Pr 0.083 0.247 0.167
10 Pr 0.486 0.736 0.472
11 In 0.627 0.355 0.253
12 In 0.873 0.102 0.747
13 In 0.127 0.898 0.253
14 In 0.373 0.645 0.747

Summary:
**DFT formation energy**: -1.881 eV per formula unit
**Energy relative to the lowest polymorph listed for this composition**: 0.0063 eV per atom
**Volume**: 228.0 Å³/f.u.
**Final energy**: -4.465 eV/atom
**Density of states at the Fermi level**: 16.8 states/eV/cell

=====

# 8
DFT (PBE-GGA) results for an optimized crystal structure of PrIn5.

Cell: 6.204 5.844 5.795 Å, 101.17 122.37 68.78°
Fractional positions:
1 In 0.632 0.000 0.263
2 In 0.798 0.500 0.597
3 In 0.472 0.500 0.945
4 In 0.313 0.000 0.625
5 In 0.146 0.500 0.292
6 Pr 0.972 0.000 0.944

Summary:
**DFT formation energy**: -1.062 eV per formula unit
**Energy relative to the lowest polymorph listed for this composition**: 0.0711 eV per atom
**Volume**: 165.4 Å³/f.u.
**Final energy**: -3.256 eV/atom
**Density of states at the Fermi level**: 4.0 states/eV/cell

=====

# 9
DFT (PBE-GGA) results for an optimized crystal structure of Pr3In2.

Cell: 5.482 9.515 12.583 Å, 90.00 90.00 90.00°
Fractional positions:
1 In 0.750 0.749 0.999
2 In 0.750 0.751 0.499
3 In 0.750 0.082 0.242
4 In 0.250 0.918 0.758
5 In 0.250 0.582 0.258
6 In 0.250 0.251 0.001
7 In 0.750 0.418 0.742
8 In 0.250 0.249 0.501
9 Pr 0.250 0.251 0.750
10 Pr 0.250 0.586 0.584
11 Pr 0.750 0.086 0.916
12 Pr 0.750 0.749 0.250
13 Pr 0.250 0.249 0.250
14 Pr 0.250 0.581 0.912
15 Pr 0.250 0.919 0.412
16 Pr 0.750 0.081 0.588
17 Pr 0.750 0.751 0.750
18 Pr 0.750 0.414 0.416
19 Pr 0.750 0.419 0.088
20 Pr 0.250 0.914 0.084

Summary:
**DFT formation energy**: -1.487 eV per formula unit
**Volume**: 164.1 Å³/f.u.
**Final energy**: -4.261 eV/atom
**Density of states at the Fermi level**: 26.2 states/eV/cell

=====

# 10
DFT (PBE-GGA) results for an optimized crystal structure of Pr4In3.

Cell: 6.805 8.840 8.840 Å, 113.65 104.87 104.87°
Fractional positions:
1 In 0.528 0.277 0.403
2 In 0.251 0.125 0.723
3 In 0.472 0.723 0.597
4 In 0.749 0.875 0.277
5 In 0.875 0.403 0.125
6 In 0.125 0.597 0.875
7 Pr 0.381 0.451 0.143
8 Pr 0.619 0.549 0.857
9 Pr 0.930 0.692 0.549
10 Pr 0.000 0.000 0.000
11 Pr 0.070 0.308 0.451
12 Pr 0.238 0.857 0.308
13 Pr 0.500 0.000 0.000
14 Pr 0.762 0.143 0.692

Summary:
**DFT formation energy**: -2.797 eV per formula unit
**Energy relative to the lowest polymorph listed for this composition**: 0.0000 eV per atom
**Volume**: 215.1 Å³/f.u.
**Final energy**: -4.304 eV/atom
**Density of states at the Fermi level**: 18.5 states/eV/cell

=====

# 11
DFT (PBE-GGA) results for an optimized crystal structure of PrIn5.

Cell: 4.884 4.742 7.306 Å, 108.94 90.00 90.00°
Fractional positions:
1 In 0.500 0.830 0.659
2 In 0.500 0.500 0.000
3 In 0.500 0.170 0.341
4 In 0.000 0.674 0.348
5 In 0.000 0.326 0.652
6 Pr 0.000 0.000 0.000

Summary:
**DFT formation energy**: -1.488 eV per formula unit
**Energy relative to the lowest polymorph listed for this composition**: 0.0000 eV per atom
**Volume**: 160.1 Å³/f.u.
**Final energy**: -3.327 eV/atom
**Density of states at the Fermi level**: 2.6 states/eV/cell

=====

# 12
DFT (PBE-GGA) results for an optimized crystal structure of Pr5In4.

Cell: 6.800 9.718 9.718 Å, 120.00 90.00 90.00°
Fractional positions:
1 Pr 0.750 0.707 0.707
2 Pr 0.250 0.293 0.293
3 Pr 0.250 0.000 0.707
4 Pr 0.250 0.707 0.000
5 Pr 0.000 0.667 0.333
6 Pr 0.500 0.333 0.667
7 Pr 0.500 0.667 0.333
8 Pr 0.750 0.293 0.000
9 Pr 0.750 0.000 0.293
10 Pr 0.000 0.333 0.667
11 In 0.750 0.633 0.000
12 In 0.250 0.000 0.367
13 In 0.000 0.000 0.000
14 In 0.750 0.000 0.633
15 In 0.250 0.633 0.633
16 In 0.750 0.367 0.367
17 In 0.250 0.367 0.000
18 In 0.500 0.000 0.000

Summary:
**DFT formation energy**: -3.843 eV per formula unit
**Volume**: 278.1 Å³/f.u.
**Final energy**: -4.299 eV/atom
**Density of states at the Fermi level**: 17.4 states/eV/cell